A plane-wave DFT calculation with PBE-GGA was carried out for an optimized crystal structure of LuNb2Sb.

Summary:
- electronic total energy (Ry per atom) = -0.5357
- total moment (Bohr magnetons per cell) = 0.002

Cell lengths 4.874, 4.874, 4.874 Å; angles 60.00, 60.00, 60.00 degrees
Fractional coordinates of all 4 atoms:
Lu (0.000, 0.000, 0.000)
Nb (0.250, 0.250, 0.250)
Nb (0.500, 0.500, 0.500)
Sb (0.750, 0.750, 0.750)